# 1
Material: AcThAs3
Method: DFT, PBE
State: relaxed

- SG: No. 221
- Total magnetic moment: 0.000 μB per formula unit
- Formation energy from the elements: -48.60 kJ/mol of atoms
- Total DFT energy (no corrections): -5.599 eV/atom

a = 5.530 Å, b = 5.530 Å, c = 5.530 Å
α = 90.00°, β = 90.00°, γ = 90.00°
Atoms (fractional coordinates):
Ac: 0.000 0.000 0.000
Th: 0.500 0.500 0.500
As: 0.000 0.500 0.500
As: 0.500 0.000 0.500
As: 0.500 0.500 0.000

***

# 2
Material: AcThAs2
Method: DFT, PBE
State: relaxed

- SG: No. 160
- Total magnetic moment: 0.000 μB per formula unit
- Formation energy from the elements: -126.82 kJ/mol of atoms
- Total DFT energy (no corrections): -6.521 eV/atom
- ΔE to the lowest computed polymorph: 125 meV/atom

a = 7.961 Å, b = 7.961 Å, c = 7.961 Å
α = 31.33°, β = 31.33°, γ = 31.33°
Atoms (fractional coordinates):
Ac: 0.000 0.000 0.000
Th: 0.827 0.827 0.827
As: 0.239 0.239 0.239
As: 0.420 0.420 0.420

***

# 3
Material: Ac4ThAs6
Method: DFT, PBE
State: relaxed

- SG: No. 167
- Total magnetic moment: 0.000 μB per formula unit
- Formation energy from the elements: -117.36 kJ/mol of atoms
- Total DFT energy (no corrections): -5.921 eV/atom

a = 8.787 Å, b = 8.787 Å, c = 8.787 Å
α = 87.74°, β = 87.74°, γ = 87.74°
Atoms (fractional coordinates):
Ac: 0.126 0.750 0.374
Ac: 0.250 0.250 0.250
Ac: 0.250 0.626 0.874
Ac: 0.374 0.126 0.750
Ac: 0.626 0.874 0.250
Ac: 0.750 0.374 0.126
Ac: 0.750 0.750 0.750
Ac: 0.874 0.250 0.626
Th: 0.000 0.000 0.000
Th: 0.500 0.500 0.500
As: 0.074 0.912 0.686
As: 0.088 0.314 0.926
As: 0.186 0.412 0.574
As: 0.314 0.926 0.088
As: 0.412 0.574 0.186
As: 0.426 0.814 0.588
As: 0.574 0.186 0.412
As: 0.588 0.426 0.814
As: 0.686 0.074 0.912
As: 0.814 0.588 0.426
As: 0.912 0.686 0.074
As: 0.926 0.088 0.314

***

# 4
Material: Ac4TmTh3As8
Method: DFT, PBE
State: relaxed

- SG: No. 166
- Total magnetic moment: 0.000 μB per formula unit
- Formation energy from the elements: -139.67 kJ/mol of atoms
- Total DFT energy (no corrections): -6.470 eV/atom

a = 8.778 Å, b = 8.778 Å, c = 8.778 Å
α = 59.50°, β = 59.50°, γ = 59.50°
Atoms (fractional coordinates):
Ac: 0.000 0.000 0.000
Ac: 0.000 0.500 0.500
Ac: 0.500 0.000 0.500
Ac: 0.500 0.500 0.000
Tm: 0.500 0.500 0.500
Th: 0.000 0.000 0.500
Th: 0.000 0.500 0.000
Th: 0.500 0.000 0.000
As: 0.244 0.244 0.244
As: 0.246 0.741 0.741
As: 0.259 0.259 0.754
As: 0.259 0.754 0.259
As: 0.741 0.246 0.741
As: 0.741 0.741 0.246
As: 0.754 0.259 0.259
As: 0.756 0.756 0.756

***

# 5
Material: AcTm2ThAs4
Method: DFT, PBE
State: relaxed

- SG: No. 10
- Total magnetic moment: 0.000 μB per formula unit
- Formation energy from the elements: -139.66 kJ/mol of atoms
- Total DFT energy (no corrections): -6.331 eV/atom

a = 7.284 Å, b = 4.236 Å, c = 7.359 Å
α = 90.00°, β = 109.48°, γ = 90.00°
Atoms (fractional coordinates):
Ac: 0.000 0.000 0.000
Tm: 0.500 0.000 0.500
Tm: 0.500 0.500 0.000
Th: 0.000 0.500 0.500
As: 0.266 0.000 0.747
As: 0.271 0.500 0.266
As: 0.729 0.500 0.734
As: 0.734 0.000 0.253

***

# 6
Material: Ac2TmThAs4
Method: DFT, PBE
State: relaxed

- SG: No. 10
- Total magnetic moment: 0.000 μB per formula unit
- Formation energy from the elements: -140.26 kJ/mol of atoms
- Total DFT energy (no corrections): -6.292 eV/atom

a = 7.494 Å, b = 4.347 Å, c = 7.584 Å
α = 90.00°, β = 109.33°, γ = 90.00°
Atoms (fractional coordinates):
Ac: 0.000 0.000 0.000
Ac: 0.500 0.500 0.000
Tm: 0.000 0.500 0.500
Th: 0.500 0.000 0.500
As: 0.238 0.000 0.726
As: 0.253 0.500 0.272
As: 0.747 0.500 0.728
As: 0.762 0.000 0.274

***

# 7
Material: AcTh2UAs4
Method: DFT, PBE
State: relaxed

- SG: No. 119
- Total magnetic moment: 2.705 μB per formula unit
- Formation energy from the elements: -114.59 kJ/mol of atoms
- Total DFT energy (no corrections): -7.292 eV/atom

a = 7.424 Å, b = 7.424 Å, c = 7.424 Å
α = 131.77°, β = 131.77°, γ = 70.60°
Atoms (fractional coordinates):
Ac: 0.000 0.000 0.000
Th: 0.500 0.500 0.000
Th: 0.750 0.250 0.500
U: 0.250 0.750 0.500
As: 0.005 0.505 0.500
As: 0.256 0.256 0.000
As: 0.495 0.995 0.500
As: 0.744 0.744 0.000

***

# 8
Material: Ac3YTh2As6
Method: DFT, PBE
State: relaxed

- SG: No. 12
- Total magnetic moment: 0.000 μB per formula unit
- Formation energy from the elements: -141.62 kJ/mol of atoms
- Total DFT energy (no corrections): -6.595 eV/atom

a = 7.551 Å, b = 7.551 Å, c = 7.618 Å
α = 99.50°, β = 99.50°, γ = 120.03°
Atoms (fractional coordinates):
Ac: 0.000 0.000 0.000
Ac: 0.333 0.667 0.000
Ac: 0.667 0.333 0.000
Y: 0.500 0.500 0.500
Th: 0.167 0.833 0.500
Th: 0.833 0.167 0.500
As: 0.092 0.424 0.271
As: 0.245 0.245 0.730
As: 0.424 0.092 0.271
As: 0.576 0.908 0.729
As: 0.755 0.755 0.270
As: 0.908 0.576 0.729

***

# 9
Material: Ac2YThAs4
Method: DFT, PBE
State: relaxed

- SG: No. 10
- Total magnetic moment: 0.000 μB per formula unit
- Formation energy from the elements: -142.55 kJ/mol of atoms
- Total DFT energy (no corrections): -6.565 eV/atom

a = 7.521 Å, b = 4.359 Å, c = 7.604 Å
α = 90.00°, β = 109.32°, γ = 90.00°
Atoms (fractional coordinates):
Ac: 0.000 0.000 0.000
Ac: 0.500 0.500 0.000
Y: 0.000 0.500 0.500
Th: 0.500 0.000 0.500
As: 0.241 0.000 0.728
As: 0.255 0.500 0.271
As: 0.745 0.500 0.729
As: 0.759 0.000 0.272

***

# 10
Material: AcTiAs3
Method: DFT, PBE
State: relaxed

- SG: No. 221
- Total magnetic moment: 0.000 μB per formula unit
- Formation energy from the elements: -73.63 kJ/mol of atoms
- Total DFT energy (no corrections): -5.954 eV/atom

a = 4.956 Å, b = 4.956 Å, c = 4.956 Å
α = 90.00°, β = 90.00°, γ = 90.00°
Atoms (fractional coordinates):
Ac: 0.000 0.000 0.000
Ti: 0.500 0.500 0.500
As: 0.000 0.500 0.500
As: 0.500 0.000 0.500
As: 0.500 0.500 0.000

***

# 11
Material: AcTl2As
Method: DFT, PBE
State: relaxed

- SG: No. 166
- Total magnetic moment: 0.000 μB per formula unit
- Formation energy from the elements: 14.47 kJ/mol of atoms
- Total DFT energy (no corrections): -3.223 eV/atom
- ΔE to the lowest computed polymorph: 647 meV/atom

a = 10.852 Å, b = 10.852 Å, c = 10.852 Å
α = 20.85°, β = 20.85°, γ = 20.85°
Atoms (fractional coordinates):
Ac: 0.000 0.000 0.000
Tl: 0.108 0.108 0.108
Tl: 0.892 0.892 0.892
As: 0.500 0.500 0.500

***

# 12
Material: AcTlAs2
Method: DFT, PBE
State: relaxed

- SG: No. 166
- Total magnetic moment: 0.000 μB per formula unit
- Formation energy from the elements: -45.18 kJ/mol of atoms
- Total DFT energy (no corrections): -4.412 eV/atom
- ΔE to the lowest computed polymorph: 115 meV/atom

a = 5.801 Å, b = 5.801 Å, c = 5.801 Å
α = 51.23°, β = 51.23°, γ = 51.23°
Atoms (fractional coordinates):
Ac: 0.000 0.000 0.000
Tl: 0.500 0.500 0.500
As: 0.225 0.225 0.225
As: 0.775 0.775 0.775

***

# 13
Material: AcTlAs
Method: DFT, PBE
State: relaxed

- SG: No. 216
- Total magnetic moment: 0.000 μB per formula unit
- Formation energy from the elements: -53.28 kJ/mol of atoms
- Total DFT energy (no corrections): -4.260 eV/atom
- ΔE to the lowest computed polymorph: 327 meV/atom

a = 5.256 Å, b = 5.256 Å, c = 5.256 Å
α = 60.00°, β = 60.00°, γ = 60.00°
Atoms (fractional coordinates):
Ac: 0.000 0.000 0.000
Tl: 0.500 0.500 0.500
As: 0.750 0.750 0.750

***

# 14
Material: AcTlAs2
Method: DFT, PBE
State: relaxed

- SG: No. 123
- Total magnetic moment: 0.000 μB per formula unit
- Formation energy from the elements: -56.27 kJ/mol of atoms
- Total DFT energy (no corrections): -4.527 eV/atom
- ΔE to the lowest computed polymorph: 0 meV/atom

a = 4.249 Å, b = 4.249 Å, c = 6.827 Å
α = 90.00°, β = 90.00°, γ = 90.00°
Atoms (fractional coordinates):
Ac: 0.000 0.000 0.000
Tl: 0.000 0.000 0.500
As: 0.500 0.500 0.188
As: 0.500 0.500 0.812

***

# 15
Material: AcTlAs
Method: DFT, PBE
State: relaxed

- SG: No. 107
- Total magnetic moment: 0.000 μB per formula unit
- Formation energy from the elements: -44.94 kJ/mol of atoms
- Total DFT energy (no corrections): -4.174 eV/atom
- ΔE to the lowest computed polymorph: 413 meV/atom

a = 6.417 Å, b = 6.417 Å, c = 6.417 Å
α = 144.09°, β = 144.09°, γ = 51.69°
Atoms (fractional coordinates):
Ac: 0.000 0.000 0.000
Tl: 0.292 0.292 0.000
As: 0.640 0.640 0.000

***

# 16
Material: AcTlAs
Method: DFT, PBE
State: relaxed

- SG: No. 11
- Total magnetic moment: 0.000 μB per formula unit
- Formation energy from the elements: -84.82 kJ/mol of atoms
- Total DFT energy (no corrections): -4.587 eV/atom
- ΔE to the lowest computed polymorph: 0 meV/atom

a = 4.523 Å, b = 4.555 Å, c = 9.424 Å
α = 90.00°, β = 90.18°, γ = 90.00°
Atoms (fractional coordinates):
Ac: 0.248 0.250 0.327
Ac: 0.752 0.750 0.673
Tl: 0.250 0.250 0.958
Tl: 0.750 0.750 0.042
As: 0.252 0.250 0.657
As: 0.748 0.750 0.343

***

# 17
Material: AcTlAs
Method: DFT, PBE
State: relaxed

- SG: No. 156
- Total magnetic moment: 0.000 μB per formula unit
- Formation energy from the elements: -54.07 kJ/mol of atoms
- Total DFT energy (no corrections): -4.268 eV/atom
- ΔE to the lowest computed polymorph: 319 meV/atom

a = 5.001 Å, b = 5.001 Å, c = 4.213 Å
α = 90.00°, β = 90.00°, γ = 120.00°
Atoms (fractional coordinates):
Ac: 0.000 0.000 0.000
Tl: 0.333 0.667 0.498
As: 0.667 0.333 0.501

***

# 18
Material: AcTlAs4
Method: DFT, PBE
State: relaxed

- SG: No. 216
- Total magnetic moment: 0.000 μB per formula unit
- Formation energy from the elements: -29.36 kJ/mol of atoms
- Total DFT energy (no corrections): -4.483 eV/atom

a = 5.895 Å, b = 5.895 Å, c = 5.895 Å
α = 60.00°, β = 60.00°, γ = 60.00°
Atoms (fractional coordinates):
Ac: 0.000 0.000 0.000
Tl: 0.750 0.750 0.750
As: 0.380 0.380 0.380
As: 0.380 0.380 0.859
As: 0.380 0.859 0.380
As: 0.859 0.380 0.380

***

# 19
Material: AcTl2As
Method: DFT, PBE
State: relaxed

- SG: No. 123
- Total magnetic moment: 0.000 μB per formula unit
- Formation energy from the elements: -47.91 kJ/mol of atoms
- Total DFT energy (no corrections): -3.869 eV/atom
- ΔE to the lowest computed polymorph: 0 meV/atom

a = 4.625 Å, b = 4.625 Å, c = 5.504 Å
α = 90.00°, β = 90.00°, γ = 90.00°
Atoms (fractional coordinates):
Ac: 0.000 0.000 0.000
Tl: 0.000 0.500 0.500
Tl: 0.500 0.000 0.500
As: 0.500 0.500 0.000

***

# 20
Material: AcTlAs2
Method: DFT, PBE
State: relaxed

- SG: No. 123
- Total magnetic moment: 0.000 μB per formula unit
- Formation energy from the elements: -55.42 kJ/mol of atoms
- Total DFT energy (no corrections): -4.518 eV/atom
- ΔE to the lowest computed polymorph: 9 meV/atom

a = 4.999 Å, b = 4.999 Å, c = 4.259 Å
α = 90.00°, β = 90.00°, γ = 90.00°
Atoms (fractional coordinates):
Ac: 0.000 0.000 0.000
Tl: 0.500 0.500 0.000
As: 0.000 0.500 0.500
As: 0.500 0.000 0.500

***

# 21
Material: Ac4Tl2As
Method: DFT, PBE
State: relaxed

- SG: No. 12
- Total magnetic moment: 0.001 μB per formula unit
- Formation energy from the elements: -56.22 kJ/mol of atoms
- Total DFT energy (no corrections): -4.271 eV/atom

a = 7.112 Å, b = 7.112 Å, c = 9.522 Å
α = 119.71°, β = 119.71°, γ = 39.91°
Atoms (fractional coordinates):
Ac: 0.084 0.084 0.372
Ac: 0.327 0.327 0.914
Ac: 0.673 0.673 0.086
Ac: 0.916 0.916 0.628
Tl: 0.371 0.371 0.333
Tl: 0.629 0.629 0.667
As: 0.000 0.000 0.000

***

# 22
Material: AcTmAs2
Method: DFT, PBE
State: relaxed

- SG: No. 166
- Total magnetic moment: 0.344 μB per formula unit
- Formation energy from the elements: -48.65 kJ/mol of atoms
- Total DFT energy (no corrections): -4.974 eV/atom
- ΔE to the lowest computed polymorph: 944 meV/atom

a = 9.144 Å, b = 9.144 Å, c = 9.144 Å
α = 26.90°, β = 26.90°, γ = 26.90°
Atoms (fractional coordinates):
Ac: 0.000 0.000 0.000
Tm: 0.500 0.500 0.500
As: 0.112 0.112 0.112
As: 0.888 0.888 0.888

***

# 23
Material: AcTmAs2
Method: DFT, PBE
State: relaxed

- SG: No. 160
- Total magnetic moment: 0.000 μB per formula unit
- Formation energy from the elements: -129.15 kJ/mol of atoms
- Total DFT energy (no corrections): -5.808 eV/atom
- ΔE to the lowest computed polymorph: 110 meV/atom

a = 7.729 Å, b = 7.729 Å, c = 7.729 Å
α = 31.81°, β = 31.81°, γ = 31.81°
Atoms (fractional coordinates):
Ac: 0.000 0.000 0.000
Tm: 0.829 0.829 0.829
As: 0.238 0.238 0.238
As: 0.423 0.423 0.423

***

# 24
Material: AcTmAs2
Method: DFT, PBE
State: relaxed

- SG: No. 166
- Total magnetic moment: 0.000 μB per formula unit
- Formation energy from the elements: -139.74 kJ/mol of atoms
- Total DFT energy (no corrections): -5.918 eV/atom
- ΔE to the lowest computed polymorph: 0 meV/atom

a = 7.458 Å, b = 7.458 Å, c = 7.458 Å
α = 33.60°, β = 33.60°, γ = 33.60°
Atoms (fractional coordinates):
Ac: 0.000 0.000 0.000
Tm: 0.500 0.500 0.500
As: 0.241 0.241 0.241
As: 0.759 0.759 0.759

***

# 25
Material: AcTmAs2
Method: DFT, PBE
State: relaxed

- SG: No. 123
- Total magnetic moment: 0.000 μB per formula unit
- Formation energy from the elements: -94.47 kJ/mol of atoms
- Total DFT energy (no corrections): -5.449 eV/atom
- ΔE to the lowest computed polymorph: 469 meV/atom

a = 5.262 Å, b = 5.262 Å, c = 3.739 Å
α = 90.00°, β = 90.00°, γ = 90.00°
Atoms (fractional coordinates):
Ac: 0.000 0.000 0.000
Tm: 0.500 0.500 0.000
As: 0.000 0.500 0.500
As: 0.500 0.000 0.500

***

# 26
Material: AcTmAs2
Method: DFT, PBE
State: relaxed

- SG: No. 225
- Total magnetic moment: 0.000 μB per formula unit
- Formation energy from the elements: -98.86 kJ/mol of atoms
- Total DFT energy (no corrections): -5.494 eV/atom
- ΔE to the lowest computed polymorph: 424 meV/atom

a = 5.248 Å, b = 5.248 Å, c = 5.248 Å
α = 60.00°, β = 60.00°, γ = 60.00°
Atoms (fractional coordinates):
Ac: 0.000 0.000 0.000
Tm: 0.500 0.500 0.500
As: 0.250 0.250 0.250
As: 0.750 0.750 0.750

***

# 27
Material: AcY2TmAs4
Method: DFT, PBE
State: relaxed

- SG: No. 10
- Total magnetic moment: 0.000 μB per formula unit
- Formation energy from the elements: -141.82 kJ/mol of atoms
- Total DFT energy (no corrections): -6.483 eV/atom

a = 7.314 Å, b = 4.226 Å, c = 7.320 Å
α = 90.00°, β = 109.38°, γ = 90.00°
Atoms (fractional coordinates):
Ac: 0.000 0.000 0.000
Y: 0.000 0.500 0.500
Y: 0.500 0.000 0.500
Tm: 0.500 0.500 0.000
As: 0.260 0.000 0.745
As: 0.267 0.500 0.264
As: 0.733 0.500 0.736
As: 0.740 0.000 0.255